[1]
La2AgBr2N2 | PBE | optimized geometry

Results
Total magnetization (μB per atom): 0.0304
Uncorrected energy (eV per atom): -5.72

a = 4.1015 Å, b = 4.1015 Å, c = 12.6339 Å
α = 90.00°, β = 90.00°, γ = 120.00°
Space group P-3m1 (No. 164)
Asymmetric unit:
La 0.3333 0.6667 0.1168
Ag 0.0000 0.0000 0.5000
Br 0.0000 0.0000 0.3032
N 0.3333 0.6667 0.9248

[2]
TmMgPdRu | PBE | optimized geometry

Results
Total magnetization (μB per atom): 0.0000
Uncorrected energy (eV per atom): -5.66

a = 3.3371 Å, b = 3.3371 Å, c = 6.3792 Å
α = 90.00°, β = 90.00°, γ = 90.00°
Space group P4mm (No. 99)
Asymmetric unit:
Tm 0.0000 0.0000 0.0000
Mg 0.0000 0.0000 0.5202
Pd 0.5000 0.5000 0.2814
Ru 0.5000 0.5000 0.7515

[3]
Na2TmRuO4 | PBE | optimized geometry

Results
Total magnetization (μB per atom): 0.1272
Uncorrected energy (eV per atom): -6.47

a = 5.3881 Å, b = 3.2962 Å, c = 5.8399 Å
α = 90.00°, β = 109.11°, γ = 90.00°
Space group P2/m (No. 10)
Asymmetric unit:
Na 0.0000 0.0000 0.0000
Na 0.5000 0.5000 0.0000
Tm 0.0000 0.5000 0.5000
Ru 0.5000 0.0000 0.5000
O 0.2455 0.0000 0.7185
O 0.2879 0.5000 0.2978

[4]
TaSb5 | PBE | optimized geometry

Results
Total magnetization (μB per atom): 0.0001
Uncorrected energy (eV per atom): -4.54

a = 8.6144 Å, b = 8.6144 Å, c = 8.6144 Å
α = 90.00°, β = 90.00°, γ = 90.00°
Space group F-43m (No. 216)
Asymmetric unit:
Ta 0.0000 0.0000 0.0000
Sb 0.1255 0.1255 0.3745
Sb 0.2500 0.2500 0.7500

[5]
MnSb2Cl | PBE | optimized geometry

Results
Total magnetization (μB per atom): 1.0541
Uncorrected energy (eV per atom): -4.98

a = 4.0159 Å, b = 3.6924 Å, c = 7.8518 Å
α = 90.00°, β = 104.66°, γ = 90.00°
Space group Pm (No. 6)
Asymmetric unit:
Mn 0.0000 0.0000 0.0000
Sb 0.4139 0.5000 0.8244
Sb 0.8197 0.0000 0.6338
Cl 0.1040 0.5000 0.2086

[6]
BC2 | PBE | optimized geometry

Results
Total magnetization (μB per atom): 0.0000
Uncorrected energy (eV per atom): -8.05

a = 8.7421 Å, b = 2.5741 Å, c = 8.0018 Å
α = 90.00°, β = 119.73°, γ = 90.00°
Space group C2/m (No. 12)
Asymmetric unit:
B 0.0733 0.0000 0.3467
B 0.1386 0.5000 0.9822
C 0.0813 0.5000 0.4906
C 0.1104 0.0000 0.8531
C 0.2371 0.5000 0.2061
C 0.2470 0.0000 0.3176

[7]
Nd3ScAs4 | PBE | optimized geometry

Results
Total magnetization (μB per atom): 0.0000
Uncorrected energy (eV per atom): -6.34

a = 8.3590 Å, b = 11.8261 Å, c = 4.1919 Å
α = 90.00°, β = 90.00°, γ = 90.00°
Space group Cmmm (No. 65)
Asymmetric unit:
Nd 0.0000 0.0000 0.0000
Nd 0.2500 0.2500 0.5000
Sc 0.0000 0.5000 0.0000
As 0.0000 0.2579 0.0000
As 0.2346 0.5000 0.5000

[8]
Sc2Be2Te | PBE | optimized geometry

Results
Total magnetization (μB per atom): 0.0000
Uncorrected energy (eV per atom): -4.94

a = 6.5332 Å, b = 6.5332 Å, c = 3.9831 Å
α = 90.00°, β = 90.00°, γ = 90.00°
Space group P4/mbm (No. 127)
Asymmetric unit:
Sc 0.1677 0.3323 0.0000
Be 0.1126 0.6126 0.5000
Te 0.0000 0.0000 0.5000

[9]
CsBaSO4 | PBE | optimized geometry

Results
Total magnetization (μB per atom): 0.1429
Uncorrected energy (eV per atom): -5.60

a = 5.5379 Å, b = 5.7325 Å, c = 9.2424 Å
α = 90.00°, β = 94.06°, γ = 90.00°
Space group P2_1/m (No. 11)
Asymmetric unit:
Cs 0.2455 0.2500 0.1267
Ba 0.2242 0.7500 0.4896
S 0.3185 0.2500 0.7170
O 0.1614 0.0359 0.7367
O 0.2857 0.2500 0.4614
O 0.4731 0.7500 0.1658

[10]
AcTbPr3Er | PBE | optimized geometry

Results
Total magnetization (μB per atom): 0.0000
Uncorrected energy (eV per atom): -4.40

a = 20.9636 Å, b = 5.9114 Å, c = 7.1115 Å
α = 90.00°, β = 91.41°, γ = 90.00°
Space group C2/m (No. 12)
Asymmetric unit:
Ac 0.1479 0.0000 0.0327
Tb 0.0584 0.5000 0.2961
Pr 0.0158 0.0000 0.7424
Pr 0.1587 0.5000 0.7453
Pr 0.2192 0.5000 0.2808
Er 0.1411 0.0000 0.4898

[11]
PrGa3Ge3 | PBE | optimized geometry

Results
Total magnetization (μB per atom): 0.0000
Uncorrected energy (eV per atom): -3.91

a = 7.0035 Å, b = 7.0035 Å, c = 7.0035 Å
α = 90.00°, β = 90.00°, γ = 90.00°
Space group Pm-3n (No. 223)
Asymmetric unit:
Pr 0.0000 0.0000 0.0000
Ga 0.0000 0.2500 0.5000
Ge 0.0000 0.5000 0.2500

[12]
Cu2AgAu2 | PBE | optimized geometry

Results
Total magnetization (μB per atom): 0.0000
Uncorrected energy (eV per atom): -3.47

a = 7.5642 Å, b = 7.5642 Å, c = 2.8747 Å
α = 90.00°, β = 90.00°, γ = 90.00°
Space group P4/mbm (No. 127)
Asymmetric unit:
Cu 0.1597 0.3403 0.0000
Ag 0.0000 0.0000 0.5000
Au 0.1383 0.6383 0.5000

[13]
BaLa | PBE | optimized geometry

Results
Total magnetization (μB per atom): 0.0000
Uncorrected energy (eV per atom): -3.09

a = 13.2257 Å, b = 13.2257 Å, c = 3.8346 Å
α = 90.00°, β = 90.00°, γ = 120.00°
Space group P6_3/m (No. 176)
Asymmetric unit:
Ba 0.0629 0.3009 0.2500
La 0.1470 0.6082 0.2500